Record 1
Compound: YCrTc2
Source: Alexandria
Functional: PBE
Structure: relaxed

Structure (CIF):
```
data_YCrTc2
_chemical_formula_sum 'Y2 Cr2 Tc4'
_cell_length_a 3.075
_cell_length_b 4.851
_cell_length_c 8.910
_cell_angle_alpha 90.00
_cell_angle_beta 90.00
_cell_angle_gamma 90.00
_space_group_name_H-M_alt 'I m m m'
_space_group_IT_number 71
_space_group_name_Hall '-I 2 2'
loop_
_atom_site_label
_atom_site_fract_x
_atom_site_fract_y
_atom_site_fract_z
Y1 0.000 0.000 0.000
Cr1 0.000 0.000 0.500
Tc1 0.000 0.500 0.219
```

## Properties
The value obtained for the formation energy is 293.0 meV/atom. The calculation puts the volume at 16.61 Å³/atom. The density of states at the Fermi level comes out at 8.580 states/eV per cell.

Record 2
Compound: SrBi
Source: Alexandria
Functional: PBE
Structure: relaxed

Structure (CIF):
```
data_SrBi
_chemical_formula_sum 'Sr6 Bi6'
_cell_length_a 9.3631
_cell_length_b 9.3631
_cell_length_c 6.7830
_cell_angle_alpha 90.00
_cell_angle_beta 90.00
_cell_angle_gamma 120.00
_space_group_name_H-M_alt 'P 63/m'
_space_group_IT_number 176
_space_group_name_Hall '-P 6c'
loop_
_atom_site_label
_atom_site_fract_x
_atom_site_fract_y
_atom_site_fract_z
Sr1 0.0952 0.7386 0.2500
Bi1 0.1319 0.6840 0.7500
```

## Properties
The value obtained for the formation energy is -484.4 meV/atom. The calculation puts the volume at 42.91 Å³/atom. The density of states at the Fermi level comes out at 11.393 states/eV per cell.

Record 3
Compound: Er8TlRh2
Source: Alexandria
Functional: PBE
Structure: relaxed

Structure (CIF):
```
data_Er8TlRh2
_chemical_formula_sum 'Er16 Tl2 Rh4'
_cell_length_a 8.617
_cell_length_b 13.201
_cell_length_c 5.415
_cell_angle_alpha 90.00
_cell_angle_beta 104.51
_cell_angle_gamma 90.00
_space_group_name_H-M_alt 'C 1 2/m 1'
_space_group_IT_number 12
loop_
_space_group_symop_operation_xyz
'x,y,z'
'-x,-y,-z'
'-x,y,-z'
'x,-y,z'
'x+1/2,y+1/2,z'
'-x+1/2,-y+1/2,-z'
'-x+1/2,y+1/2,-z'
'x+1/2,-y+1/2,z'
loop_
_atom_site_label
_atom_site_fract_x
_atom_site_fract_y
_atom_site_fract_z
Er1 0.000 0.246 0.000
Er2 0.111 0.500 0.804
Er3 0.203 0.129 0.577
Tl1 0.000 0.000 0.000
Rh1 0.000 0.306 0.500
```

## Properties
The value obtained for the formation energy is -376.8 meV/atom. The calculation puts the volume at 27.11 Å³/atom. The density of states at the Fermi level comes out at 23.778 states/eV per cell.

Record 4
Compound: Na2CaI
Source: Alexandria
Functional: PBE
Structure: relaxed

Structure (CIF):
```
data_Na2CaI
_chemical_formula_sum 'Na8 Ca4 I4'
_cell_length_a 9.824
_cell_length_b 9.824
_cell_length_c 6.584
_cell_angle_alpha 90.00
_cell_angle_beta 90.00
_cell_angle_gamma 90.00
_space_group_name_H-M_alt 'I -4 2 d'
_space_group_IT_number 122
_space_group_name_Hall 'I -4 2bw'
loop_
_atom_site_label
_atom_site_fract_x
_atom_site_fract_y
_atom_site_fract_z
Na1 0.202 0.250 0.125
Ca1 0.000 0.000 0.500
I1 0.000 0.000 0.000
```

## Properties
The calculation puts the total energy at -1.91 eV per atom. The calculation puts the volume at 39.72 Å³/atom. The density of states at the Fermi level comes out at 5.047 states/eV per cell.

Record 5
Compound: SrBe2Co
Source: Alexandria
Functional: PBE
Structure: relaxed

Structure (CIF):
```
data_SrBe2Co
_chemical_formula_sum 'Sr2 Be4 Co2'
_cell_length_a 6.614
_cell_length_b 3.813
_cell_length_c 5.748
_cell_angle_alpha 90.00
_cell_angle_beta 112.28
_cell_angle_gamma 90.00
_space_group_name_H-M_alt 'C 1 2/m 1'
_space_group_IT_number 12
loop_
_space_group_symop_operation_xyz
'x,y,z'
'-x,-y,-z'
'-x,y,-z'
'x,-y,z'
'x+1/2,y+1/2,z'
'-x+1/2,-y+1/2,-z'
'-x+1/2,y+1/2,-z'
'x+1/2,-y+1/2,z'
loop_
_atom_site_label
_atom_site_fract_x
_atom_site_fract_y
_atom_site_fract_z
Sr1 0.000 0.000 0.000
Be1 0.182 0.000 0.547
Co1 0.000 0.500 0.500
```

## Properties
The value obtained for the formation energy is 62.7 meV/atom. The calculation puts the volume at 16.77 Å³/atom. The density of states at the Fermi level comes out at 6.039 states/eV per cell.

Record 6
Compound: LiPmTmS3
Source: Alexandria
Functional: PBE
Structure: relaxed

Structure (CIF):
```
data_LiPmTmS3
_chemical_formula_sum 'Li2 Pm2 Tm2 S6'
_cell_length_a 8.031
_cell_length_b 3.828
_cell_length_c 8.388
_cell_angle_alpha 90.00
_cell_angle_beta 102.93
_cell_angle_gamma 90.00
_space_group_name_H-M_alt 'P 1 21/m 1'
_space_group_IT_number 11
loop_
_space_group_symop_operation_xyz
'x,y,z'
'-x,-y,-z'
'-x,y+1/2,-z'
'x,-y+1/2,z'
loop_
_atom_site_label
_atom_site_fract_x
_atom_site_fract_y
_atom_site_fract_z
Li1 0.087 0.250 0.084
Pm1 0.190 0.250 0.723
Tm1 0.335 0.750 0.335
S1 0.099 0.250 0.367
S2 0.218 0.750 0.001
S3 0.432 0.750 0.670
```

## Properties
The calculation puts the total energy at -5.74 eV per atom. The calculation puts the volume at 20.95 Å³/atom. The density of states at the Fermi level comes out at 3.650 states/eV per cell.

Record 7
Compound: LaPm3Pr2N6
Source: Alexandria
Functional: PBE
Structure: relaxed

Structure (CIF):
```
data_LaPm3Pr2N6
_chemical_formula_sum 'La2 Pm6 Pr4 N12'
_cell_length_a 15.969
_cell_length_b 3.663
_cell_length_c 7.330
_cell_angle_alpha 90.00
_cell_angle_beta 103.31
_cell_angle_gamma 90.00
_space_group_name_H-M_alt 'C 1 2/m 1'
_space_group_IT_number 12
loop_
_space_group_symop_operation_xyz
'x,y,z'
'-x,-y,-z'
'-x,y,-z'
'x,-y,z'
'x+1/2,y+1/2,z'
'-x+1/2,-y+1/2,-z'
'-x+1/2,y+1/2,-z'
'x+1/2,-y+1/2,z'
loop_
_atom_site_label
_atom_site_fract_x
_atom_site_fract_y
_atom_site_fract_z
La1 0.000 0.000 0.000
Pm1 0.000 0.000 0.500
Pm2 0.167 0.500 0.833
Pr1 0.167 0.500 0.335
N1 0.001 0.500 0.746
N2 0.166 0.000 0.585
N3 0.168 0.000 0.080
```

## Properties
The calculation puts the total energy at -7.92 eV per atom. The calculation puts the volume at 17.38 Å³/atom. The density of states at the Fermi level comes out at 3.465 states/eV per cell.

Record 8
Compound: SbAu
Source: Alexandria
Functional: PBE
Structure: relaxed

Structure (CIF):
```
data_SbAu
_chemical_formula_sum 'Sb4 Au4'
_cell_length_a 5.195
_cell_length_b 8.277
_cell_length_c 4.850
_cell_angle_alpha 90.00
_cell_angle_beta 90.00
_cell_angle_gamma 90.00
_space_group_name_H-M_alt 'C m c m'
_space_group_IT_number 63
_space_group_name_Hall '-C 2c 2'
loop_
_atom_site_label
_atom_site_fract_x
_atom_site_fract_y
_atom_site_fract_z
Sb1 0.000 0.235 0.250
Au1 0.000 0.407 0.750
```

## Properties
The calculation puts the total energy at -3.74 eV per atom. The calculation puts the volume at 26.07 Å³/atom. The density of states at the Fermi level comes out at 3.051 states/eV per cell.

Record 9
Compound: TmZrCo
Source: Alexandria
Functional: PBE
Structure: relaxed

Structure (CIF):
```
data_TmZrCo
_chemical_formula_sum 'Tm4 Zr4 Co4'
_cell_length_a 7.453
_cell_length_b 8.595
_cell_length_c 4.863
_cell_angle_alpha 90.00
_cell_angle_beta 118.00
_cell_angle_gamma 90.00
_space_group_name_H-M_alt 'C 1 m 1'
_space_group_IT_number 8
loop_
_space_group_symop_operation_xyz
'x,y,z'
'x,-y,z'
'x+1/2,y+1/2,z'
'x+1/2,-y+1/2,z'
loop_
_atom_site_label
_atom_site_fract_x
_atom_site_fract_y
_atom_site_fract_z
Tm1 0.000 0.193 0.000
Zr1 0.046 0.500 0.452
Zr2 0.239 0.000 0.698
Co1 0.126 0.500 0.984
Co2 0.388 0.500 0.464
```

## Properties
The value obtained for the formation energy is 146.3 meV/atom. The calculation puts the volume at 22.92 Å³/atom. The density of states at the Fermi level comes out at 15.066 states/eV per cell.

Record 10
Compound: SmTeO
Source: Alexandria
Functional: PBE
Structure: relaxed

Structure (CIF):
```
data_SmTeO
_chemical_formula_sum 'Sm1 Te1 O1'
_cell_length_a 3.8299
_cell_length_b 3.8299
_cell_length_c 5.6442
_cell_angle_alpha 90.00
_cell_angle_beta 90.00
_cell_angle_gamma 120.00
_space_group_name_H-M_alt 'P -6 m 2'
_space_group_IT_number 187
_space_group_name_Hall 'P -6 2'
loop_
_atom_site_label
_atom_site_fract_x
_atom_site_fract_y
_atom_site_fract_z
Sm1 0.0000 0.0000 0.0000
Te1 0.6667 0.3333 0.5000
O1 0.3333 0.6667 0.0000
```

## Properties
The calculation puts the total energy at -6.37 eV per atom. The calculation puts the volume at 23.90 Å³/atom. The density of states at the Fermi level comes out at 1.498 states/eV per cell.